## VSb2F (GGA+U)

Data for a geometry-optimized VSb2F structure.

Calculated values
V = 308.46 Å³/cell
relative energy among the computed polymorphs = 0 meV/atom
size of the total moment = 3.42 μB per formula unit

Lattice parameters (Å, degrees): 6.7567 6.7567 6.7567 90.00 90.00 90.00
Last column: nearest neighbours and their distance in Å.
Space group Fm-3m (No. 225)
Unique sites:
V: 0.0000 0.0000 0.0000  8 Sb 2.93
Sb: 0.2500 0.2500 0.2500  4 F 2.93, 4 V 2.93
F: 0.0000 0.0000 0.5000  8 Sb 2.93